First-principles (SCAN) data for a crystal of Sr10Cu5Mo4WO30 relaxed with PBEsol, as listed in Alexandria.

- E_form (uncorrected) (eV per atom) = -2.429
- total magnetization (μB/f.u.) = 5.04

```
data_Sr10Cu5Mo4WO30
_cell_length_a 7.5500
_cell_length_b 8.5290
_cell_length_c 19.2485
_cell_angle_alpha 90.00
_cell_angle_beta 101.31
_cell_angle_gamma 90.00
_space_group_name_H-M_alt 'C 1 2/m 1'
_space_group_IT_number 12
loop_
_space_group_symop_operation_xyz
'x,y,z'
'-x,-y,-z'
'-x,y,-z'
'x,-y,z'
'x+1/2,y+1/2,z'
'-x+1/2,-y+1/2,-z'
'-x+1/2,y+1/2,-z'
'x+1/2,-y+1/2,z'
loop_
_atom_site_label
_atom_site_fract_x
_atom_site_fract_y
_atom_site_fract_z
Sr1 0.0000 0.2502 0.0000
Sr2 0.1000 0.2498 0.1997
Sr3 0.1998 0.2498 0.3992
Cu1 0.0000 0.0000 0.5000
Cu2 0.1001 0.5000 0.7007
Cu3 0.2000 0.0000 0.9001
Mo1 0.1003 0.0000 0.7004
Mo2 0.2001 0.5000 0.9002
W1 0.0000 0.5000 0.5000
O1 0.0000 0.2741 0.5000
O2 0.0023 0.5000 0.4004
O3 0.0417 0.0000 0.0794
O4 0.0582 0.5000 0.1202
O5 0.0985 0.0000 0.7997
O6 0.1000 0.2249 0.7005
O7 0.1017 0.0000 0.6014
O8 0.1418 0.5000 0.2790
O9 0.1580 0.0000 0.3198
O10 0.1986 0.5000 0.9994
O11 0.2000 0.2753 0.9003
O12 0.2017 0.5000 0.8012
O13 0.2409 0.0000 0.4790
```



First-principles (SCAN) data for a crystal of Co2MoRh relaxed with PBEsol, as listed in Alexandria.

- density of states at the Fermi level (states/eV/cell) = 11.4
- excess energy over the best structure of this formula in the dataset (kJ/mol of atoms) = 17.5
- formation energy from the elements (eV/atom) = 0.19
- total magnetization (μB/f.u.) = 0.78

```
data_Co2MoRh
_cell_length_a 5.8426
_cell_length_b 5.8426
_cell_length_c 5.8426
_cell_angle_alpha 90.00
_cell_angle_beta 90.00
_cell_angle_gamma 90.00
_space_group_name_H-M_alt 'F -4 3 m'
_space_group_IT_number 216
_space_group_name_Hall 'F -4 2 3'
loop_
_atom_site_label
_atom_site_fract_x
_atom_site_fract_y
_atom_site_fract_z
Co1 0.0000 0.0000 0.0000
Co2 0.2500 0.2500 0.2500
Mo1 0.2500 0.2500 0.7500
Rh1 0.0000 0.0000 0.5000
```